Record 1
{"formula": "Ga2Pd7Pt", "functional": "PBE-GGA", "state": "relaxed", "lattice_angstrom": [[-3.2810, -1.7854, -1.6910], [4.2950, -3.1053, -5.0550], [-1.3934, -3.4264, 6.3215]], "species": ["Ga", "Ga", "Pd", "Pd", "Pd", "Pd", "Pd", "Pd", "Pd", "Pt"], "frac_coords": [[0.5000, 0.6924, 0.3076], [0.5000, 0.3076, 0.6924], [0.0000, 0.7890, 0.2110], [0.0000, 0.2110, 0.7890], [0.5000, 0.0747, 0.2987], [0.5000, 0.9253, 0.7013], [0.5000, 0.2987, 0.0747], [0.5000, 0.7013, 0.9253], [0.5000, 0.5000, 0.5000], [0.0000, 0.0000, 0.0000]], "rho_g_cm3": 9.47, "ef_ev_per_atom": 0.06, "volume_a3_per_atom": 18.933, "e_tot_ev_per_atom": -4.78}



Record 2
{"formula": "Ga2Pd3Pt", "functional": "PBE-GGA", "state": "relaxed", "lattice_angstrom": [[7.1175, 0.0000, 0.0000], [0.0000, 5.5912, 0.0000], [-3.5588, -2.7956, 5.3023]], "species": ["Ga", "Ga", "Ga", "Ga", "Pd", "Pd", "Pd", "Pd", "Pd", "Pd", "Pt", "Pt"], "frac_coords": [[0.5783, 0.3615, 0.7230], [0.8553, 0.1385, 0.2770], [0.1447, 0.8615, 0.7230], [0.4217, 0.6385, 0.2770], [0.5000, 0.2500, 0.0000], [0.5000, 0.7500, 0.0000], [0.7728, 0.0228, 0.5456], [0.2272, 0.4772, 0.4544], [0.2272, 0.9772, 0.4544], [0.7728, 0.5228, 0.5456], [0.0000, 0.5000, 0.0000], [0.0000, 0.0000, 0.0000]], "rho_g_cm3": 10.29, "ef_ev_per_atom": -0.37, "volume_a3_per_atom": 17.584, "e_tot_ev_per_atom": -4.98}



Record 3
{"formula": "Ga5PdPt", "functional": "PBE-GGA", "state": "relaxed", "lattice_angstrom": [[6.5821, 0.0030, 0.0195], [2.0910, 6.2411, 0.0195], [3.1363, 2.2579, 8.1374]], "species": ["Ga", "Ga", "Ga", "Ga", "Ga", "Ga", "Ga", "Ga", "Ga", "Ga", "Pd", "Pd", "Pt", "Pt"], "frac_coords": [[0.7724, 0.7263, 0.1261], [0.3177, 0.6722, 0.4639], [0.7263, 0.7724, 0.6261], [0.8690, 0.1310, 0.2500], [0.3278, 0.6823, 0.0361], [0.6722, 0.3177, 0.9639], [0.1310, 0.8690, 0.7500], [0.2737, 0.2276, 0.3739], [0.6823, 0.3278, 0.5361], [0.2276, 0.2737, 0.8739], [0.5376, 0.4624, 0.2500], [0.4624, 0.5376, 0.7500], [0.0000, 0.0000, 0.0000], [0.0000, 0.0000, 0.5000]], "rho_g_cm3": 6.47, "ef_ev_per_atom": -0.23, "volume_a3_per_atom": 23.832, "e_tot_ev_per_atom": -3.99}



Record 4
{"formula": "Ga3PdPt3", "functional": "PBE-GGA", "state": "relaxed", "lattice_angstrom": [[7.2959, 0.0000, 0.0000], [3.6479, 6.3184, 0.0000], [3.6479, 2.1061, 5.1476]], "species": ["Ga", "Ga", "Ga", "Ga", "Ga", "Ga", "Pd", "Pd", "Pt", "Pt", "Pt", "Pt", "Pt", "Pt"], "frac_coords": [[0.2461, 0.6343, 0.1831], [0.9366, 0.2461, 0.1831], [0.6343, 0.9366, 0.1831], [0.3657, 0.0634, 0.8169], [0.0634, 0.7539, 0.8169], [0.7539, 0.3657, 0.8169], [0.3348, 0.3348, 0.9955], [0.6652, 0.6652, 0.0045], [0.4610, 0.7583, 0.6770], [0.7583, 0.1038, 0.6770], [0.1038, 0.4610, 0.6770], [0.8962, 0.5390, 0.3230], [0.2417, 0.8962, 0.3230], [0.5390, 0.2417, 0.3230]], "rho_g_cm3": 12.61, "ef_ev_per_atom": -0.54, "volume_a3_per_atom": 16.950, "e_tot_ev_per_atom": -5.17}



Record 5
{"formula": "Ga2Pd2Pt3", "functional": "PBE-GGA", "state": "relaxed", "lattice_angstrom": [[2.8068, 0.0000, -0.4807], [-0.1541, 3.8605, -0.8997], [0.2519, 0.2805, 9.9055]], "species": ["Ga", "Ga", "Pd", "Pd", "Pt", "Pt", "Pt"], "frac_coords": [[0.6523, 0.1523, 0.3046], [0.3477, 0.8477, 0.6954], [0.5725, 0.5725, 0.1450], [0.4275, 0.4275, 0.8550], [0.0000, 0.0000, 0.0000], [0.2055, 0.7055, 0.4110], [0.7945, 0.2945, 0.5890]], "rho_g_cm3": 14.34, "ef_ev_per_atom": -0.40, "volume_a3_per_atom": 15.504, "e_tot_ev_per_atom": -5.34}



Record 6
{"formula": "GaPd5Pt2", "functional": "PBE-GGA", "state": "relaxed", "lattice_angstrom": [[3.9394, 0.0000, 0.0000], [0.0000, 5.5742, 0.0000], [0.0000, 0.0000, 11.1292]], "species": ["Ga", "Ga", "Pd", "Pd", "Pd", "Pd", "Pd", "Pd", "Pd", "Pd", "Pd", "Pd", "Pt", "Pt", "Pt", "Pt"], "frac_coords": [[0.0000, 0.0000, 0.5000], [0.0000, 0.5000, 0.0000], [0.5000, 0.2612, 0.1217], [0.5000, 0.7388, 0.8783], [0.5000, 0.7612, 0.3783], [0.5000, 0.2388, 0.6217], [0.0000, 0.9899, 0.7446], [0.0000, 0.0101, 0.2554], [0.0000, 0.4899, 0.7554], [0.0000, 0.5101, 0.2446], [0.0000, 0.5000, 0.5000], [0.0000, 0.0000, 0.0000], [0.5000, 0.2576, 0.3746], [0.5000, 0.7424, 0.6254], [0.5000, 0.2424, 0.8746], [0.5000, 0.7576, 0.1254]], "rho_g_cm3": 13.48, "ef_ev_per_atom": -0.24, "volume_a3_per_atom": 15.274, "e_tot_ev_per_atom": -5.37}



Record 7
{"formula": "Ga8Pd2Pt", "functional": "PBE-GGA", "state": "relaxed", "lattice_angstrom": [[-4.1272, -1.2373, -2.1947], [1.6797, 2.0509, -4.4578], [4.0513, -6.7970, 1.4626]], "species": ["Pt", "Pd", "Pd", "Ga", "Ga", "Ga", "Ga", "Ga", "Ga", "Ga", "Ga"], "frac_coords": [[0.0900, 0.9101, 0.9091], [0.7536, 0.5725, 0.2349], [0.4280, 0.2463, 0.5834], [0.8413, 0.3588, 0.9075], [0.9246, 0.9805, 0.5524], [0.2798, 0.3382, 0.2667], [0.6877, 0.0066, 0.1035], [0.2586, 0.8363, 0.2681], [0.9011, 0.4762, 0.5492], [0.3414, 0.4628, 0.9109], [0.4939, 0.8116, 0.7142]], "rho_g_cm3": 8.84, "ef_ev_per_atom": -0.36, "volume_a3_per_atom": 16.486, "e_tot_ev_per_atom": -4.05}



Record 8
{"formula": "GaPd2Pt", "functional": "PBE-GGA", "state": "relaxed", "lattice_angstrom": [[3.7523, 0.0000, 0.0000], [0.0000, 3.7523, 0.0000], [1.8761, 1.8761, 9.3934]], "species": ["Ga", "Ga", "Pd", "Pd", "Pd", "Pd", "Pt", "Pt"], "frac_coords": [[0.5000, 0.5000, 0.0000], [0.2500, 0.7500, 0.5000], [0.6222, 0.1250, 0.2500], [0.1278, 0.6250, 0.2500], [0.3750, 0.3778, 0.7500], [0.8750, 0.8722, 0.7500], [0.0000, 0.0000, 0.0000], [0.7500, 0.2500, 0.5000]], "rho_g_cm3": 11.99, "ef_ev_per_atom": -0.16, "volume_a3_per_atom": 16.532, "e_tot_ev_per_atom": -5.03}



Record 9
{"formula": "GaPd2Pt2", "functional": "PBE-GGA", "state": "relaxed", "lattice_angstrom": [[-3.5148, 5.3428, 0.9607], [-2.5602, -2.6407, 5.3192], [2.9234, 1.5333, 2.1683]], "species": ["Ga", "Ga", "Pd", "Pd", "Pd", "Pd", "Pt", "Pt", "Pt", "Pt"], "frac_coords": [[0.0000, 0.0000, 0.0000], [0.5000, 0.5000, 0.0000], [0.3531, 0.8531, 0.0000], [0.8531, 0.6469, 0.0000], [0.6469, 0.1469, 0.0000], [0.1469, 0.3531, 0.0000], [0.1525, 0.6525, 0.5000], [0.6525, 0.8475, 0.5000], [0.8475, 0.3475, 0.5000], [0.3475, 0.1525, 0.5000]], "rho_g_cm3": 13.53, "ef_ev_per_atom": -0.07, "volume_a3_per_atom": 16.518, "e_tot_ev_per_atom": -5.16}



Record 10
{"formula": "GaPd2Pt2", "functional": "PBE-GGA", "state": "relaxed", "lattice_angstrom": [[-2.4424, 4.7344, -3.6439], [2.1559, -2.9729, -5.3077], [-3.4652, -2.0061, -0.2839]], "species": ["Ga", "Ga", "Pd", "Pd", "Pd", "Pd", "Pt", "Pt", "Pt", "Pt"], "frac_coords": [[0.0000, 0.0000, 0.0000], [0.5000, 0.5000, 0.0000], [0.1580, 0.6580, 0.5000], [0.6580, 0.8420, 0.5000], [0.8420, 0.3420, 0.5000], [0.3420, 0.1580, 0.5000], [0.3560, 0.8560, 0.0000], [0.8560, 0.6440, 0.0000], [0.6440, 0.1440, 0.0000], [0.1440, 0.3560, 0.0000]], "rho_g_cm3": 13.36, "ef_ev_per_atom": -0.17, "volume_a3_per_atom": 16.722, "e_tot_ev_per_atom": -5.27}



Record 11
{"formula": "Ga6Pd3Pt", "functional": "PBE-GGA", "state": "relaxed", "lattice_angstrom": [[-4.9752, -2.4216, 4.1547], [1.7028, -5.8986, -1.3990], [4.0601, -0.4946, 7.0276]], "species": ["Ga", "Ga", "Ga", "Ga", "Ga", "Ga", "Ga", "Ga", "Ga", "Ga", "Ga", "Ga", "Pd", "Pd", "Pd", "Pd", "Pd", "Pd", "Pt", "Pt"], "frac_coords": [[0.6650, 0.1251, 0.9405], [0.6580, 0.1741, 0.5949], [0.7215, 0.4882, 0.2174], [0.2785, 0.5118, 0.7826], [0.3420, 0.8259, 0.4051], [0.3350, 0.8749, 0.0595], [0.1650, 0.3749, 0.4405], [0.1580, 0.3259, 0.0949], [0.2215, 0.0118, 0.7174], [0.7785, 0.9882, 0.2826], [0.8420, 0.6741, 0.9051], [0.8350, 0.6251, 0.5595], [0.5381, 0.8293, 0.7544], [0.5000, 0.5000, 0.0000], [0.4619, 0.1707, 0.2456], [0.0381, 0.6707, 0.2544], [0.0000, 0.0000, 0.5000], [0.9619, 0.3293, 0.7456], [0.5000, 0.5000, 0.5000], [0.0000, 0.0000, 0.0000]], "rho_g_cm3": 8.89, "ef_ev_per_atom": -0.45, "volume_a3_per_atom": 17.421, "e_tot_ev_per_atom": -4.43}



Record 12
{"formula": "Ga2Pd2Pt7", "functional": "PBE-GGA", "state": "relaxed", "lattice_angstrom": [[5.1335, -0.1754, -0.2006], [-0.6123, 5.9384, 0.9112], [-0.6123, 0.1131, 6.0068]], "species": ["Ga", "Ga", "Pd", "Pd", "Pt", "Pt", "Pt", "Pt", "Pt", "Pt", "Pt"], "frac_coords": [[0.2520, 0.2323, 0.2323], [0.7480, 0.7677, 0.7677], [0.0000, 0.1846, 0.8154], [0.0000, 0.8154, 0.1846], [0.7391, 0.0448, 0.4145], [0.2609, 0.5855, 0.9552], [0.2609, 0.9552, 0.5855], [0.7391, 0.4145, 0.0448], [0.5000, 0.0000, 0.0000], [0.2601, 0.5167, 0.5167], [0.7399, 0.4833, 0.4833]], "rho_g_cm3": 15.73, "ef_ev_per_atom": -0.11, "volume_a3_per_atom": 16.484, "e_tot_ev_per_atom": -5.45}